A plane-wave DFT calculation with PBE-GGA was carried out for CdNi2Mo after structural relaxation.

```
CdNi2Mo
1.0
8.926 0.018 0.010
8.492 2.750 0.010
8.492 1.349 2.396
Mo Cd Ni
1 1 2
Direct
0.750 0.750 0.750
0.250 0.250 0.250
0.495 0.495 0.495
0.005 0.005 0.005
```

Output
As for the crystal system: trigonal. As for the formation energy: 0.18 eV/atom.

***

A plane-wave DFT calculation with PBE-GGA was carried out for BeZn2Si after structural relaxation.

```
BeZn2Si
1.0
3.816 0.000 0.000
0.000 3.816 0.000
1.908 1.908 8.092
Be Zn Si
2 4 2
Direct
0.500 0.500 0.000
0.250 0.750 0.500
0.375 0.398 0.750
0.875 0.852 0.750
0.602 0.125 0.250
0.148 0.625 0.250
0.750 0.250 0.500
0.000 0.000 0.000
```

Output
As for the crystal system: tetragonal. The uncorrected formation energy comes out at 334 meV per atom.

***

A plane-wave DFT calculation with PBE-GGA was carried out for SrReAs2 after structural relaxation.

```
SrReAs2
1.0
-2.369 1.933 -1.058
-1.091 0.320 3.030
4.395 5.910 0.959
Re Sr As
1 1 2
Direct
0.500 0.500 0.250
0.500 0.500 0.750
0.000 0.000 0.446
0.000 0.000 0.054
```

Output
As for the crystal system: tetragonal. As for the formation energy: -0.13 eV/atom. Its offset from the most stable computed form is 143 meV per atom.

***

A plane-wave DFT calculation with PBE-GGA was carried out for PrP2Rh5Pb after structural relaxation.

```
PrP2Rh5Pb
1.0
-2.806 2.838 -0.961
-2.990 -2.733 0.662
-0.454 2.876 9.818
Pb P Rh Pr
1 2 5 1
Direct
0.000 0.000 0.000
0.500 0.500 0.279
0.500 0.500 0.721
0.500 0.000 0.185
0.500 0.500 0.500
0.000 0.500 0.815
0.500 0.000 0.815
0.000 0.500 0.185
0.000 0.000 0.500
```

Output
As for the crystal system: tetragonal. As for the formation energy: -0.60 eV/atom.

***

A plane-wave DFT calculation with PBE-GGA was carried out for NiPRu after structural relaxation.

```
NiPRu
1.0
-1.359 -1.921 -3.001
-1.550 -3.451 0.487
-3.761 -0.477 -0.415
Ni Ru P
1 1 1
Direct
0.500 0.500 0.500
0.000 0.000 0.000
0.750 0.750 0.750
```

Output
As for the crystal system: cubic. As for the formation energy: -0.54 eV/atom.

***

A plane-wave DFT calculation with PBE-GGA was carried out for Cd2InRu after structural relaxation.

```
Cd2InRu
1.0
5.381 0.008 0.048
4.287 3.252 0.048
1.791 0.604 4.469
Cd Ru In
2 1 1
Direct
0.982 0.982 0.968
0.748 0.748 0.789
0.249 0.249 0.317
0.521 0.521 0.427
```

Output
As for the crystal system: monoclinic. As for the formation energy: 0.18 eV/atom. Its offset from the most stable computed form is 90 meV per atom.

***

A plane-wave DFT calculation with PBE-GGA was carried out for ScZn4 after structural relaxation.

```
ScZn4
1.0
-0.899 4.389 2.880
-3.474 1.693 -3.665
-3.935 -2.497 2.577
Zn Sc
4 1
Direct
0.500 0.500 0.000
0.000 0.000 0.000
0.000 0.500 0.500
0.500 0.000 0.500
0.500 0.500 0.500
```

Output
As for the crystal system: cubic. As for the formation energy: 0.86 eV/atom.

***

A plane-wave DFT calculation with PBE-GGA was carried out for KTi2CrAs after structural relaxation.

```
KTi2CrAs
1.0
-0.366 0.118 4.663
-2.182 -4.139 -0.067
4.215 -2.228 0.387
K As Cr Ti
1 1 1 2
Direct
0.500 0.500 0.500
0.000 0.000 0.500
0.000 0.000 0.000
0.000 0.500 0.000
0.500 0.000 0.000
```

Output
As for the crystal system: tetragonal. As for the formation energy: 0.50 eV/atom.

***

A plane-wave DFT calculation with PBE-GGA was carried out for TcPt2Rh8 after structural relaxation.

```
TcPt2Rh8
1.0
4.046 0.229 -0.148
-0.432 6.242 -2.128
0.219 0.376 6.594
Rh Tc Pt
8 1 2
Direct
0.500 0.671 0.671
0.500 0.760 0.240
0.500 0.240 0.760
0.000 0.038 0.291
0.500 0.329 0.329
0.000 0.962 0.709
0.000 0.291 0.038
0.000 0.709 0.962
0.500 0.000 0.000
0.000 0.378 0.622
0.000 0.622 0.378
```

Output
As for the crystal system: orthorhombic. As for the formation energy: 0.21 eV/atom.

***

A plane-wave DFT calculation with PBE-GGA was carried out for TaZn4Pt5 after structural relaxation.

```
TaZn4Pt5
1.0
2.885 0.000 0.000
0.000 2.885 0.000
0.000 0.000 18.038
Pt Zn Ta
5 4 1
Direct
0.500 0.500 0.695
0.500 0.500 0.892
0.500 0.500 0.305
0.500 0.500 0.500
0.500 0.500 0.108
0.000 0.000 0.791
0.000 0.000 0.597
0.000 0.000 0.209
0.000 0.000 0.403
0.000 0.000 0.000
```

Output
As for the crystal system: tetragonal. As for the formation energy: -0.59 eV/atom.

***

A plane-wave DFT calculation with PBE-GGA was carried out for Te2SeBr after structural relaxation.

```
Te2SeBr
1.0
-0.207 -4.229 0.101
4.317 -0.267 -2.322
2.325 -0.010 4.324
Br Te Se
1 2 1
Direct
0.500 0.500 0.000
0.000 0.000 0.000
0.000 0.500 0.500
0.500 0.000 0.500
```

Output
As for the crystal system: tetragonal. The uncorrected formation energy comes out at 435 meV per atom. Its offset from the most stable computed form is 496 meV per atom.

***

A plane-wave DFT calculation with PBE-GGA was carried out for Cs2MgHgBr6 after structural relaxation.

```
Cs2MgHgBr6
1.0
-0.597 -0.694 -7.977
-7.972 -0.699 0.658
-4.804 4.811 -4.100
Mg Cs Br Hg
1 2 6 1
Direct
0.500 0.500 0.000
0.250 0.750 0.500
0.750 0.250 0.500
0.731 0.269 0.000
0.234 0.234 0.532
0.269 0.731 0.000
0.766 0.766 0.468
0.269 0.269 0.000
0.731 0.731 0.000
0.000 0.000 0.000
```

Output
As for the crystal system: tetragonal. The uncorrected formation energy comes out at -1277 meV per atom.

***

A plane-wave DFT calculation with PBE-GGA was carried out for AgBrF2 after structural relaxation.

```
AgBrF2
1.0
2.283 0.000 6.192
-1.141 1.977 6.192
-1.141 -1.977 6.192
Ag F Br
1 2 1
Direct
0.500 0.500 0.500
0.109 0.109 0.109
0.891 0.891 0.891
0.000 0.000 0.000
```

Output
As for the crystal system: trigonal. The uncorrected formation energy comes out at -766 meV per atom. Its offset from the most stable computed form is 36 meV per atom.

***

A plane-wave DFT calculation with PBE-GGA was carried out for LaSe6Br12 after structural relaxation.

```
LaSe6Br12
1.0
8.975 2.669 -0.014
-0.018 9.363 -0.014
1.987 2.669 8.752
Se Br La
6 12 1
Direct
0.237 0.326 0.501
0.499 0.763 0.674
0.326 0.501 0.237
0.674 0.499 0.763
0.501 0.237 0.326
0.763 0.674 0.499
0.835 0.155 0.257
0.845 0.743 0.165
0.743 0.165 0.845
0.714 0.567 0.973
0.165 0.845 0.743
0.433 0.027 0.286
0.027 0.286 0.433
0.155 0.257 0.835
0.286 0.433 0.027
0.567 0.973 0.714
0.973 0.714 0.567
0.257 0.835 0.155
0.000 0.000 0.000
```

Output
As for the crystal system: trigonal. The uncorrected formation energy comes out at -357 meV per atom.

***

A plane-wave DFT calculation with PBE-GGA was carried out for LaZnAs2 after structural relaxation.

```
LaZnAs2
1.0
3.801 0.000 0.000
0.000 3.801 0.000
0.000 0.000 6.127
As La Zn
2 1 1
Direct
0.000 0.000 0.540
0.000 0.000 0.960
0.500 0.500 0.250
0.500 0.500 0.750
```

Output
As for the crystal system: tetragonal. As for the formation energy: -0.48 eV/atom.

***

A plane-wave DFT calculation with PBE-GGA was carried out for SiW2 after structural relaxation.

```
SiW2
1.0
-2.323 2.923 -1.270
-2.246 -0.387 3.219
1.874 2.172 1.570
Si W
1 2
Direct
0.000 0.000 0.000
0.500 0.000 0.500
0.000 0.500 0.500
```

Output
As for the crystal system: tetragonal. The uncorrected formation energy comes out at 714 meV per atom. Its offset from the most stable computed form is 865 meV per atom.

***

A plane-wave DFT calculation with PBE-GGA was carried out for Al3Pb2Au9 after structural relaxation.

```
Al3Pb2Au9
1.0
-7.512 -1.392 1.867
5.730 -1.541 5.163
2.224 11.023 0.811
Au Al Pb
18 6 4
Direct
0.114 0.977 0.928
0.536 0.348 0.063
0.464 0.652 0.937
0.207 0.695 0.062
0.451 0.814 0.428
0.214 0.526 0.563
0.886 0.023 0.072
0.556 0.085 0.252
0.667 0.696 0.752
0.106 0.856 0.250
0.133 0.145 0.438
0.793 0.305 0.938
0.867 0.855 0.562
0.894 0.144 0.750
0.786 0.474 0.437
0.444 0.915 0.748
0.549 0.186 0.572
0.333 0.304 0.248
0.172 0.343 0.000
0.500 0.000 0.000
0.500 0.500 0.500
0.828 0.657 0.000
0.844 0.172 0.500
0.156 0.828 0.500
0.999 0.586 0.750
0.001 0.414 0.250
0.665 0.751 0.250
0.335 0.249 0.750
```

Output
As for the crystal system: monoclinic. As for the formation energy: -0.22 eV/atom.

***

A plane-wave DFT calculation with PBE-GGA was carried out for SrErAlGa after structural relaxation.

```
SrErAlGa
1.0
-1.316 4.451 -2.512
-2.945 3.636 2.442
2.153 4.591 1.463
Er Al Ga Sr
1 1 1 1
Direct
0.000 0.000 0.000
0.750 0.750 0.750
0.250 0.250 0.250
0.500 0.500 0.500
```

Output
As for the crystal system: cubic. As for the formation energy: -0.26 eV/atom.

***

A plane-wave DFT calculation with PBE-GGA was carried out for Pr2YGa3Pd4 after structural relaxation.

```
Pr2YGa3Pd4
1.0
4.314 0.000 0.000
0.000 4.314 0.000
0.000 0.000 11.344
Y Pd Pr Ga
1 4 2 3
Direct
0.500 0.500 0.500
0.500 0.000 0.658
0.500 0.500 0.000
0.000 0.500 0.342
0.000 0.000 0.000
0.500 0.000 0.226
0.000 0.500 0.774
0.000 0.500 0.120
0.500 0.000 0.880
0.000 0.000 0.500
```

Output
As for the crystal system: tetragonal. As for the formation energy: -0.79 eV/atom.

***

A plane-wave DFT calculation with PBE-GGA was carried out for Cs2ZnCd7 after structural relaxation.

```
Cs2ZnCd7
1.0
5.237 0.000 0.000
0.000 5.237 0.000
0.000 0.000 11.838
Cd Cs Zn
7 2 1
Direct
0.000 0.000 0.000
0.000 0.500 0.629
0.500 0.000 0.116
0.500 0.000 0.371
0.500 0.500 0.500
0.000 0.000 0.500
0.000 0.500 0.884
0.000 0.500 0.245
0.500 0.000 0.755
0.500 0.500 0.000
```

Output
As for the crystal system: tetragonal. As for the formation energy: -0.01 eV/atom.